Entry from OQMD via LeMat-Bulk: crystalline CoTePdO at its relaxed geometry (PBE with a Hubbard U). Values from VASP.

total energy: -0.372 Ry/atom
volume: 17.808 Å³ per atom
offset from the most stable computed form: 0.000 eV per atom
space group: No. 129
magnetization: 2.49 μB/f.u.

```
&SYSTEM
  ibrav = 0, nat = 8, ntyp = 4
/
ATOMIC_SPECIES
Co 58.93 Co.upf
Te 127.60 Te.upf
Pd 106.42 Pd.upf
O 16.00 O.upf
CELL_PARAMETERS angstrom
3.787 0.000 0.000
0.000 3.787 0.000
0.000 0.000 9.931
ATOMIC_POSITIONS crystal
Co 0.250 0.250 0.050
Co 0.750 0.750 0.950
Te 0.250 0.250 0.318
Te 0.750 0.750 0.682
Pd 0.250 0.250 0.592
Pd 0.750 0.750 0.408
O 0.250 0.750 0.000
O 0.750 0.250 0.000
```